1.
Crystalline Li2FeP2O7 at its relaxed geometry, computed with PBE+U.

Calculated values
**Energy above the most stable polymorph in this dataset**: 28 meV per atom

abc: 5.420 6.518 8.933
angles: 107.91 99.44 106.19
Site moments in Bohr magnetons follow the coordinates.
Fractional coordinates of all 24 atoms:
Li  0.206  0.791  0.962  0.00
Li  0.794  0.209  0.038  0.00
Li  0.316  0.213  0.760  0.00
Li  0.684  0.787  0.240  0.00
Fe  0.104  0.605  0.363  3.78
Fe  0.896  0.395  0.637  3.78
P  0.238  0.153  0.400  0.01
P  0.762  0.847  0.600  0.01
P  0.618  0.702  0.875  0.00
P  0.382  0.298  0.125  0.00
O  0.063  0.899  0.345  0.02
O  0.937  0.101  0.655  0.02
O  0.066  0.308  0.416  0.03
O  0.934  0.692  0.584  0.03
O  0.326  0.540  0.821  0.01
O  0.674  0.460  0.179  0.01
O  0.176  0.418  0.138  0.02
O  0.824  0.582  0.862  0.02
O  0.323  0.113  0.956  0.00
O  0.677  0.887  0.044  0.00
O  0.532  0.766  0.448  0.02
O  0.468  0.234  0.552  0.02
O  0.638  0.845  0.753  0.00
O  0.362  0.155  0.247  0.00

---

2.
Crystalline Li2Fe3P9O28 at its relaxed geometry, computed with PBE+U.

Calculated values
**E**: -7.005 eV/atom

abc: 7.105 9.062 9.205
angles: 111.25 109.17 98.31
Site moments in Bohr magnetons follow the coordinates.
Fractional coordinates of all 42 atoms:
Li  0.720  0.919  0.254  0.00
Li  0.280  0.081  0.746  0.00
Fe  0.500  0.500  0.000  4.41
Fe  0.234  0.977  0.237  4.41
Fe  0.766  0.023  0.763  4.41
P  0.316  0.761  0.468  0.01
P  0.788  0.759  0.940  0.02
P  0.683  0.700  0.424  0.01
P  0.135  0.662  0.889  0.01
P  0.000  0.500  0.500  0.00
P  0.317  0.300  0.576  0.01
P  0.865  0.338  0.111  0.01
P  0.684  0.239  0.532  0.01
P  0.212  0.241  0.060  0.02
O  0.423  0.914  0.642  0.04
O  0.917  0.884  0.130  0.06
O  0.256  0.841  0.019  0.07
O  0.809  0.879  0.553  0.07
O  0.765  0.837  0.818  0.07
O  0.254  0.802  0.318  0.07
O  0.622  0.691  0.245  0.06
O  0.101  0.651  0.706  0.01
O  0.580  0.663  0.919  0.07
O  0.118  0.641  0.448  0.01
O  0.473  0.650  0.450  0.01
O  0.906  0.623  0.886  0.01
O  0.220  0.530  0.925  0.07
O  0.779  0.564  0.452  0.00
O  0.780  0.470  0.075  0.07
O  0.221  0.436  0.548  0.00
O  0.527  0.350  0.550  0.01
O  0.094  0.377  0.114  0.01
O  0.420  0.337  0.081  0.07
O  0.882  0.359  0.552  0.01
O  0.378  0.309  0.755  0.06
O  0.899  0.349  0.294  0.01
O  0.235  0.163  0.182  0.07
O  0.746  0.198  0.682  0.07
O  0.744  0.159  0.981  0.07
O  0.191  0.121  0.447  0.07
O  0.577  0.086  0.358  0.04
O  0.083  0.116  0.870  0.06

---

3.
Crystalline LiFe2P2O8 at its relaxed geometry, computed with PBE+U.

Calculated values
**Energy above the most stable polymorph in this dataset**: 61 meV per atom

abc: 4.612 5.195 7.748
angles: 86.97 101.21 105.83
Site moments in Bohr magnetons follow the coordinates.
Fractional coordinates of all 13 atoms:
Li  0.360  0.341  0.034  0.00
Fe  0.067  0.254  0.394  3.82
Fe  0.929  0.759  0.585  4.32
P  0.362  0.829  0.268  0.01
P  0.623  0.157  0.732  0.01
O  0.166  0.652  0.403  0.07
O  0.284  0.082  0.620  0.12
O  0.270  0.095  0.233  0.04
O  0.333  0.668  0.109  0.03
O  0.638  0.268  0.909  0.03
O  0.736  0.900  0.742  0.13
O  0.704  0.908  0.378  0.12
O  0.815  0.373  0.614  0.11

---

4.
Crystalline Li2FeP2O7 at its relaxed geometry, computed with PBE+U.

Calculated values
**Energy above the most stable polymorph in this dataset**: 33 meV per atom

abc: 5.585 7.565 7.565
angles: 116.11 90.03 90.03
Site moments in Bohr magnetons follow the coordinates.
Fractional coordinates of all 24 atoms:
Li  0.500  0.714  0.286  0.00
Li  0.500  0.286  0.714  0.00
Li  0.000  0.286  0.714  0.00
Li  0.000  0.714  0.286  0.00
Fe  0.749  0.697  0.697  3.80
Fe  0.251  0.303  0.303  3.80
P  0.750  0.089  0.311  0.01
P  0.250  0.911  0.689  0.01
P  0.250  0.689  0.911  0.01
P  0.750  0.311  0.089  0.01
O  0.250  0.900  0.900  0.00
O  0.750  0.100  0.100  0.00
O  0.250  0.739  0.127  0.00
O  0.250  0.127  0.739  0.00
O  0.750  0.873  0.261  0.00
O  0.750  0.261  0.873  0.00
O  0.021  0.801  0.579  0.03
O  0.979  0.199  0.421  0.03
O  0.979  0.421  0.199  0.03
O  0.021  0.579  0.801  0.03
O  0.523  0.200  0.421  0.03
O  0.523  0.421  0.200  0.03
O  0.477  0.800  0.579  0.03
O  0.477  0.579  0.800  0.03

---

5.
Crystalline LiFe2P2O8 at its relaxed geometry, computed with PBE+U.

Calculated values
**Energy above the most stable polymorph in this dataset**: 0 meV per atom

abc: 5.314 8.818 8.708
angles: 67.25 90.00 90.00
Site moments in Bohr magnetons follow the coordinates.
Fractional coordinates of all 26 atoms:
Li  0.823  0.892  0.935  0.00
Li  0.177  0.392  0.935  0.00
Fe  0.825  0.655  0.726  3.77
Fe  0.301  0.489  0.287  4.33
Fe  0.175  0.155  0.726  3.77
Fe  0.699  0.989  0.287  4.33
P  0.321  0.745  0.882  0.02
P  0.806  0.665  0.351  0.02
P  0.679  0.245  0.882  0.02
P  0.194  0.165  0.351  0.02
O  0.172  0.907  0.833  0.04
O  0.377  0.026  0.362  0.10
O  0.602  0.776  0.830  0.03
O  0.194  0.634  0.804  0.03
O  0.787  0.820  0.185  0.09
O  0.740  0.747  0.478  0.08
O  0.071  0.590  0.389  0.11
O  0.828  0.407  0.833  0.04
O  0.306  0.659  0.074  0.12
O  0.623  0.526  0.362  0.10
O  0.398  0.276  0.830  0.03
O  0.806  0.134  0.804  0.03
O  0.213  0.320  0.185  0.09
O  0.260  0.247  0.478  0.08
O  0.929  0.090  0.389  0.11
O  0.694  0.159  0.074  0.12

---

6.
Crystalline Li2FeP2O7 at its relaxed geometry, computed with PBE+U.

Calculated values
**Energy above the most stable polymorph in this dataset**: 2 meV per atom

abc: 5.050 8.174 8.971
angles: 114.05 90.00 107.99
Site moments in Bohr magnetons follow the coordinates.
Fractional coordinates of all 24 atoms:
Li  0.663  0.619  0.947  0.00
Li  0.337  0.381  0.053  0.00
Li  0.044  0.381  0.553  0.00
Li  0.956  0.619  0.447  0.00
Fe  0.000  0.000  0.500  3.78
Fe  0.000  0.000  0.000  3.78
P  0.464  0.206  0.316  0.01
P  0.743  0.206  0.816  0.01
P  0.536  0.794  0.684  0.01
P  0.257  0.794  0.184  0.01
O  0.487  0.000  0.750  0.00
O  0.513  0.000  0.250  0.00
O  0.121  0.787  0.336  0.03
O  0.879  0.213  0.664  0.03
O  0.334  0.213  0.164  0.03
O  0.666  0.787  0.836  0.03
O  0.394  0.645  0.108  0.01
O  0.750  0.355  0.392  0.01
O  0.250  0.645  0.608  0.01
O  0.606  0.355  0.892  0.01
O  0.749  0.797  0.560  0.03
O  0.251  0.203  0.440  0.03
O  0.049  0.797  0.060  0.03
O  0.951  0.203  0.940  0.03

---

7.
Crystalline LiFe2P2O8 at its relaxed geometry, computed with PBE+U.

Calculated values
**Energy above the most stable polymorph in this dataset**: 30 meV per atom

abc: 5.279 9.012 10.144
angles: 54.66 90.00 90.00
Site moments in Bohr magnetons follow the coordinates.
Fractional coordinates of all 26 atoms:
Li  0.653  0.565  0.466  0.00
Li  0.347  0.565  0.966  0.00
Fe  0.932  0.489  0.246  3.76
Fe  0.522  0.000  0.756  4.32
Fe  0.478  0.000  0.256  4.32
Fe  0.068  0.489  0.746  3.76
P  0.011  0.237  0.623  0.02
P  0.423  0.747  0.137  0.02
P  0.577  0.747  0.637  0.02
P  0.989  0.237  0.123  0.02
O  0.147  0.703  0.186  0.04
O  0.294  0.196  0.680  0.12
O  0.599  0.590  0.264  0.03
O  0.066  0.417  0.103  0.03
O  0.850  0.076  0.761  0.14
O  0.150  0.076  0.261  0.14
O  0.465  0.775  0.969  0.09
O  0.967  0.257  0.465  0.04
O  0.498  0.926  0.616  0.12
O  0.706  0.196  0.180  0.12
O  0.401  0.590  0.764  0.03
O  0.033  0.257  0.965  0.04
O  0.535  0.775  0.469  0.09
O  0.853  0.703  0.686  0.04
O  0.502  0.926  0.116  0.12
O  0.934  0.417  0.603  0.03

---

8.
Crystalline LiFeP2O7 at its relaxed geometry, computed with PBE+U.

Calculated values
**Energy above the most stable polymorph in this dataset**: 74 meV per atom

abc: 6.263 6.444 7.991
angles: 98.32 105.07 112.99
Site moments in Bohr magnetons follow the coordinates.
Fractional coordinates of all 22 atoms:
Li  0.000  0.000  0.000  0.00
Li  0.000  0.000  0.500  0.00
Fe  0.605  0.312  0.766  4.41
Fe  0.395  0.688  0.234  4.41
P  0.169  0.439  0.780  0.02
P  0.831  0.561  0.220  0.02
P  0.553  0.774  0.686  0.01
P  0.447  0.226  0.314  0.01
O  0.279  0.597  0.970  0.07
O  0.721  0.403  0.030  0.07
O  0.239  0.233  0.757  0.06
O  0.761  0.767  0.243  0.06
O  0.595  0.007  0.800  0.08
O  0.405  0.993  0.200  0.08
O  0.721  0.683  0.799  0.06
O  0.279  0.317  0.201  0.06
O  0.271  0.590  0.648  0.01
O  0.729  0.410  0.352  0.01
O  0.892  0.346  0.696  0.08
O  0.108  0.654  0.304  0.08
O  0.411  0.215  0.495  0.06
O  0.589  0.785  0.505  0.06

---

9.
Crystalline Li2FePO5 at its relaxed geometry, computed with PBE+U.

Calculated values
**E**: -6.477 eV/atom

abc: 4.475 6.438 6.438
angles: 90.00 90.00 90.00
Site moments in Bohr magnetons follow the coordinates.
Fractional coordinates of all 18 atoms:
Li  0.500  0.750  0.250  0.00
Li  0.500  0.750  0.750  0.00
Li  0.500  0.250  0.750  0.00
Li  0.500  0.250  0.250  0.00
Fe  0.071  0.500  0.000  4.26
Fe  0.929  0.000  0.500  4.26
P  0.000  0.500  0.500  0.01
P  0.000  0.000  0.000  0.01
O  0.667  0.500  0.000  0.34
O  0.333  0.000  0.500  0.34
O  0.206  0.500  0.694  0.06
O  0.206  0.500  0.306  0.06
O  0.794  0.694  0.500  0.06
O  0.206  0.806  0.000  0.06
O  0.794  0.000  0.806  0.06
O  0.794  0.000  0.194  0.06
O  0.206  0.194  0.000  0.06
O  0.794  0.306  0.500  0.06

---

10.
Crystalline LiFe2P2O8 at its relaxed geometry, computed with PBE+U.

Calculated values
**Energy above the most stable polymorph in this dataset**: 12 meV per atom

abc: 5.229 10.355 13.649
angles: 90.00 90.00 90.00
Site moments in Bohr magnetons follow the coordinates.
Fractional coordinates of all 52 atoms:
Li  0.476  0.787  0.998  0.00
Li  0.476  0.713  0.498  0.00
Li  0.524  0.287  0.998  0.00
Li  0.524  0.213  0.498  0.00
Fe  0.097  0.964  0.498  4.30
Fe  0.464  0.786  0.252  3.77
Fe  0.464  0.714  0.752  3.77
Fe  0.097  0.536  0.998  4.30
Fe  0.903  0.464  0.498  4.30
Fe  0.536  0.286  0.252  3.77
Fe  0.536  0.214  0.752  3.77
Fe  0.903  0.036  0.998  4.30
P  0.579  0.961  0.626  0.01
P  0.971  0.784  0.870  0.01
P  0.971  0.716  0.370  0.01
P  0.579  0.539  0.126  0.01
P  0.421  0.461  0.626  0.01
P  0.029  0.284  0.870  0.01
P  0.029  0.216  0.370  0.01
P  0.421  0.039  0.126  0.01
O  0.865  0.985  0.601  0.13
O  0.488  0.978  0.224  0.04
O  0.576  0.972  0.039  0.10
O  0.004  0.930  0.895  0.14
O  0.515  0.815  0.623  0.03
O  0.089  0.748  0.271  0.04
O  0.124  0.789  0.455  0.10
O  0.685  0.746  0.876  0.03
O  0.685  0.754  0.376  0.03
O  0.124  0.711  0.955  0.10
O  0.089  0.752  0.771  0.04
O  0.515  0.685  0.123  0.03
O  0.004  0.570  0.395  0.14
O  0.576  0.528  0.539  0.10
O  0.488  0.522  0.724  0.04
O  0.865  0.515  0.101  0.13
O  0.135  0.485  0.601  0.13
O  0.512  0.478  0.224  0.04
O  0.424  0.472  0.039  0.10
O  0.996  0.430  0.895  0.14
O  0.485  0.315  0.623  0.03
O  0.911  0.248  0.271  0.04
O  0.876  0.289  0.455  0.10
O  0.315  0.246  0.876  0.03
O  0.315  0.254  0.376  0.03
O  0.876  0.211  0.955  0.10
O  0.911  0.252  0.771  0.04
O  0.485  0.185  0.123  0.03
O  0.996  0.070  0.395  0.14
O  0.424  0.028  0.539  0.10
O  0.512  0.022  0.724  0.04
O  0.135  0.015  0.101  0.13

---

11.
Crystalline Li2FeP2O7 at its relaxed geometry, computed with PBE+U.

Calculated values
**Energy above the most stable polymorph in this dataset**: 0 meV per atom

abc: 5.190 13.239 8.548
angles: 81.31 86.34 98.07
Site moments in Bohr magnetons follow the coordinates.
Fractional coordinates of all 48 atoms:
Li  0.303  0.689  0.871  0.00
Li  0.304  0.189  0.371  0.00
Li  0.696  0.311  0.129  0.00
Li  0.697  0.811  0.629  0.00
Li  0.292  0.932  0.062  0.00
Li  0.292  0.432  0.562  0.00
Li  0.708  0.068  0.938  0.00
Li  0.708  0.568  0.438  0.00
Fe  0.815  0.003  0.277  3.78
Fe  0.185  0.497  0.223  3.78
Fe  0.814  0.503  0.777  3.78
Fe  0.186  0.997  0.723  3.78
P  0.231  0.156  0.020  0.00
P  0.231  0.656  0.520  0.00
P  0.769  0.844  0.980  0.00
P  0.769  0.344  0.480  0.00
P  0.744  0.624  0.077  0.01
P  0.745  0.124  0.577  0.01
P  0.255  0.376  0.923  0.01
P  0.256  0.876  0.423  0.01
O  0.055  0.883  0.915  0.02
O  0.055  0.383  0.415  0.02
O  0.945  0.117  0.085  0.02
O  0.945  0.617  0.585  0.02
O  0.213  0.257  0.890  0.00
O  0.213  0.757  0.390  0.00
O  0.787  0.743  0.110  0.00
O  0.787  0.243  0.610  0.00
O  0.551  0.404  0.938  0.02
O  0.551  0.904  0.438  0.02
O  0.449  0.596  0.062  0.02
O  0.449  0.096  0.562  0.02
O  0.591  0.313  0.355  0.00
O  0.591  0.813  0.855  0.00
O  0.409  0.687  0.645  0.00
O  0.409  0.187  0.145  0.00
O  0.837  0.564  0.225  0.02
O  0.838  0.064  0.725  0.02
O  0.162  0.436  0.775  0.02
O  0.163  0.936  0.275  0.02
O  0.661  0.422  0.575  0.01
O  0.661  0.922  0.075  0.01
O  0.339  0.578  0.425  0.01
O  0.339  0.078  0.925  0.01
O  0.087  0.381  0.075  0.02
O  0.088  0.881  0.575  0.02
O  0.912  0.619  0.925  0.02
O  0.913  0.119  0.425  0.02

---

12.
Crystalline Li2FeP2O8 at its relaxed geometry, computed with PBE+U.

Calculated values
**Energy above the most stable polymorph in this dataset**: 29 meV per atom

abc: 4.894 4.894 6.391
angles: 89.21 89.21 66.22
Site moments in Bohr magnetons follow the coordinates.
Fractional coordinates of all 13 atoms:
Li  0.506  0.506  0.515  0.00
Li  0.175  0.175  0.258  0.00
Fe  0.503  0.503  0.993  4.37
P  0.851  0.851  0.242  0.01
P  0.146  0.146  0.761  0.00
O  0.732  0.200  0.230  0.06
O  0.735  0.735  0.055  0.03
O  0.753  0.753  0.448  0.08
O  0.799  0.274  0.770  0.14
O  0.274  0.799  0.770  0.14
O  0.243  0.243  0.551  0.20
O  0.200  0.732  0.230  0.06
O  0.261  0.261  0.953  0.07